NaMoPdO5 after structural relaxation, computed with PBE with a Hubbard U.

As for the magnetization: 0.62 Bohr magnetons per cell. As for the total energy: -96.49 eV per cell.

```
NaMoPdO5
1.0
3.4521 -6.0613 0.0000
3.4521 6.0613 0.0000
-2.7258 0.0000 6.3565
Na Mo Pd O
2 2 2 10
direct
0.2376 0.7624 0.7500
0.7624 0.2376 0.2500
0.1367 0.8633 0.2500
0.8633 0.1367 0.7500
0.5000 0.5000 0.0000
0.5000 0.5000 0.5000
0.1082 0.6636 0.3844
0.1506 0.2548 0.9440
0.2548 0.1506 0.4440
0.3364 0.8918 0.1156
0.4338 0.5662 0.7500
0.5662 0.4338 0.2500
0.6636 0.1082 0.8844
0.7452 0.8494 0.5560
0.8494 0.7452 0.0560
0.8918 0.3364 0.6156
```